1.
DFT (PBE) results for a relaxed PrCdPb3 crystal.

The structure belongs to space group Pm (No. 6); the cell edges are 4.290, 7.777 and 4.693 Å and the angles 90.00°, 90.13° and 90.00°. The asymmetric unit holds Pr at (0.000, 0.000, 0.000), Cd at (0.000, 0.500, 0.504), Pb at (0.500, 0.196, 0.501) and Pb at (0.500, 0.500, 0.002).

As for the crystal system: monoclinic. The calculation puts the energy relative to the elements at -0.103 eV per atom. Its total energy is -3.466 eV/atom. For the calculated density, the calculation gives 9.28 g/cm³. As for the energy relative to the lowest polymorph listed for this composition: 0 meV per atom.

2.
DFT (PBE) results for a relaxed PrCd3Pb3 crystal.

The structure belongs to space group Pm-3n (No. 223); the cell edges are 8.030, 8.030 and 8.030 Å and the angles 90.00°, 90.00° and 90.00°. The asymmetric unit holds Pr at (0.000, 0.000, 0.000), Cd at (0.000, 0.250, 0.500) and Pb at (0.000, 0.500, 0.250).

As for the crystal system: cubic. The calculation puts the energy relative to the elements at 0.408 eV per atom. Its total energy is -2.256 eV/atom. For the calculated density, the calculation gives 7.05 g/cm³.